{"formula": "SrBi2Au", "functional": "GGA-PBE", "state": "optimized geometry", "volume_a3_per_atom": 29.2, "total_energy_ev_per_atom": -3.6123, "cell": [[0.0000, 3.8816, 3.8816], [3.8816, 0.0000, 3.8816], [3.8816, 3.8816, 0.0000]], "species": ["Sr", "Bi", "Bi", "Au"], "fractional_positions": [[0.0000, 0.0000, 0.0000], [0.5000, 0.5000, 0.5000], [0.7500, 0.7500, 0.7500], [0.2500, 0.2500, 0.2500]]}

{"formula": "TaBiAu", "functional": "GGA-PBE", "state": "optimized geometry", "volume_a3_per_atom": 24.7, "total_energy_ev_per_atom": -5.8528, "cell": [[0.0000, 3.3323, 3.3323], [3.3323, 0.0000, 3.3323], [3.3323, 3.3323, 0.0000]], "species": ["Ta", "Bi", "Au"], "fractional_positions": [[0.0000, 0.0000, 0.0000], [0.2500, 0.2500, 0.2500], [0.7500, 0.7500, 0.7500]]}

{"formula": "Ta2BiAu", "functional": "GGA-PBE", "state": "optimized geometry", "volume_a3_per_atom": 20.6, "total_energy_ev_per_atom": -7.0964, "cell": [[0.0000, 3.4514, 3.4514], [3.4514, 0.0000, 3.4514], [3.4514, 3.4514, 0.0000]], "species": ["Ta", "Ta", "Bi", "Au"], "fractional_positions": [[0.0000, 0.0000, 0.0000], [0.2500, 0.2500, 0.2500], [0.5000, 0.5000, 0.5000], [0.7500, 0.7500, 0.7500]]}

{"formula": "TaBiAu2", "functional": "GGA-PBE", "state": "optimized geometry", "volume_a3_per_atom": 20.4, "total_energy_ev_per_atom": -5.1714, "cell": [[0.0000, 3.4401, 3.4401], [3.4401, 0.0000, 3.4401], [3.4401, 3.4401, 0.0000]], "species": ["Ta", "Bi", "Au", "Au"], "fractional_positions": [[0.0000, 0.0000, 0.0000], [0.7500, 0.7500, 0.7500], [0.2500, 0.2500, 0.2500], [0.5000, 0.5000, 0.5000]]}